(1)
VASP calculation (GGA-PBE) on a relaxed structure of Nb2HRu.

```
Nb2HRu
1.0
5.982 0.000 0.000
0.000 5.982 0.000
0.000 0.000 6.250
Nb H Ru
8 4 4
Cartesian
1.055 1.496 0.781
1.496 4.046 2.344
1.496 4.928 5.469
1.936 1.496 3.906
4.046 4.487 3.906
4.487 1.055 5.469
4.487 1.936 2.344
4.928 4.487 0.781
0.000 0.000 0.000
0.000 2.991 1.563
2.991 0.000 4.688
2.991 2.991 3.125
0.000 0.000 3.125
0.000 2.991 4.688
2.991 0.000 1.563
2.991 2.991 0.000
```

**ΔE to the lowest computed polymorph**: 144 meV per atom
**Fermi-level density of states**: 2.40 states/eV/f.u.

---

(2)
VASP calculation (GGA-PBE) on a relaxed structure of CdGeO3.

```
CdGeO3
1.0
5.416 -4.808 0.000
5.416 4.808 0.000
-1.994 0.000 5.474
Cd Ge O
4 4 12
Cartesian
3.920 3.861 4.105
4.917 2.103 1.368
3.920 -2.103 4.105
4.917 -3.861 1.368
1.596 0.852 4.255
2.593 -0.852 1.518
6.245 0.852 3.956
7.242 -0.852 1.219
-0.037 0.888 3.613
2.292 2.384 4.718
0.960 -0.888 0.876
3.717 0.002 0.390
2.720 -0.002 3.127
5.548 2.384 3.493
3.289 -2.384 1.981
6.118 0.002 2.347
5.121 -0.002 5.084
7.877 0.888 4.598
6.545 -2.384 0.756
8.874 -0.888 1.861
```

**Raw total energy**: -27.62 eV/f.u.

---

(3)
VASP calculation (GGA-PBE) on a relaxed structure of SrCaCl2.

```
SrCaCl2
1.0
5.123 0.000 0.000
0.000 5.123 0.000
0.000 0.000 8.748
Sr Ca Cl
2 2 4
Cartesian
0.000 0.000 0.000
2.562 2.562 4.374
0.000 0.000 4.374
2.562 2.562 0.000
0.000 2.562 2.187
0.000 2.562 6.561
2.562 0.000 2.187
2.562 0.000 6.561
```

**ΔE to the lowest computed polymorph**: 461 meV per atom
**Fermi-level density of states**: 3.11 states/eV/f.u.

---

(4)
VASP calculation (GGA-PBE) on a relaxed structure of TaSeS2.

```
TaSeS2
1.0
3.334 0.000 0.000
-1.667 2.888 0.000
0.000 0.000 24.890
Ta Se S
3 3 6
Cartesian
0.000 0.000 0.000
0.000 1.925 16.593
1.667 0.963 8.297
0.000 0.000 12.445
0.000 1.925 4.148
1.667 0.963 20.741
0.000 0.000 9.862
0.000 0.000 15.028
0.000 1.925 1.565
0.000 1.925 6.731
1.667 0.963 18.159
1.667 0.963 23.324
```

**Fermi-level density of states**: 2.50 states/eV/f.u.
**Raw total energy**: -25.58 eV/f.u.

---

(5)
VASP calculation (GGA-PBE) on a relaxed structure of PmSm3Bi4.

```
PmSm3Bi4
1.0
6.449 0.000 0.000
0.000 6.449 0.000
0.000 0.000 6.449
Pm Sm Bi
1 3 4
Cartesian
0.000 0.000 0.000
0.000 3.225 3.225
3.225 0.000 3.225
3.225 3.225 0.000
0.000 0.000 3.225
0.000 3.225 0.000
3.225 0.000 0.000
3.225 3.225 3.225
```

**ΔE to the lowest computed polymorph**: 0 meV per atom
**Fermi-level density of states**: 0.43 states/eV/f.u.
**Formation enthalpy at 0 K**: -0.936 eV per atom

---

(6)
VASP calculation (GGA-PBE) on a relaxed structure of Pr2NdAl4Au3.

```
Pr2NdAl4Au3
1.0
4.416 0.000 0.000
0.000 4.416 0.000
0.000 0.000 11.840
Pr Nd Al Au
2 1 4 3
Cartesian
0.000 2.208 2.685
2.208 0.000 9.156
0.000 0.000 5.920
0.000 0.000 0.000
0.000 2.208 7.971
2.208 0.000 3.869
2.208 2.208 0.000
0.000 2.208 10.465
2.208 0.000 1.375
2.208 2.208 5.920
```

**Fermi-level density of states**: 5.78 states/eV/f.u.
**Formation enthalpy at 0 K**: -0.581 eV per atom

---

(7)
VASP calculation (GGA-PBE) on a relaxed structure of RhCN2O.

```
RhCN2O
1.0
3.751 0.000 0.000
0.000 3.751 0.000
0.000 0.000 4.146
Rh C N O
1 1 2 1
Cartesian
0.000 0.000 0.000
1.875 1.875 2.073
0.000 1.875 0.000
1.875 0.000 0.000
0.000 0.000 2.073
```

**Fermi-level density of states**: 2.65 states/eV/f.u.
**Raw total energy**: -26.20 eV/f.u.

---

(8)
VASP calculation (GGA-PBE) on a relaxed structure of CrTc.

```
CrTc
1.0
2.753 0.000 0.000
-1.377 2.385 0.000
0.000 0.000 24.522
Cr Tc
6 6
Cartesian
0.000 0.000 3.228
0.000 0.000 21.294
0.000 1.590 13.120
0.000 1.590 19.576
1.377 0.795 4.946
1.377 0.795 11.402
0.000 0.000 9.281
0.000 0.000 15.241
0.000 1.590 1.107
0.000 1.590 7.067
1.377 0.795 17.456
1.377 0.795 23.415
```

**Fermi-level density of states**: 2.32 states/eV/f.u.
**Formation enthalpy at 0 K**: 0.236 eV per atom

---

(9)
VASP calculation (GGA-PBE) on a relaxed structure of La2Pr5YSc.

```
La2Pr5YSc
1.0
-4.254 4.254 8.681
4.254 -4.254 8.681
4.254 4.254 -8.681
La Pr Y Sc
4 10 2 2
Cartesian
5.325 1.071 0.000
1.071 3.184 0.000
3.184 1.071 8.681
-1.071 3.184 8.681
0.000 0.000 0.000
2.360 1.894 -2.549
2.360 -1.894 6.131
2.360 1.894 2.549
2.360 -1.894 11.230
0.000 0.000 8.681
1.894 6.148 -2.549
1.894 2.360 6.131
1.894 6.148 2.549
1.894 2.360 11.230
0.000 0.000 4.340
0.000 0.000 13.021
4.254 0.000 4.340
0.000 4.254 4.340
```

**Fermi-level density of states**: 12.83 states/eV/f.u.
**Formation enthalpy at 0 K**: 0.247 eV per atom

---

(10)
VASP calculation (GGA-PBE) on a relaxed structure of MnTlCd2.

```
MnTlCd2
1.0
12.740 0.000 0.000
0.000 3.088 0.000
-1.749 0.000 4.483
Mn Tl Cd
2 2 4
Cartesian
0.000 0.000 0.000
6.370 1.544 0.000
-0.874 1.544 2.242
5.496 0.000 2.242
2.252 1.544 0.923
2.369 0.000 3.560
8.622 0.000 0.923
8.739 1.544 3.560
```

**ΔE to the lowest computed polymorph**: 13 meV per atom
**Fermi-level density of states**: 1.64 states/eV/f.u.
**Formation enthalpy at 0 K**: 0.227 eV per atom

---

(11)
VASP calculation (GGA-PBE) on a relaxed structure of CuSnBr3.

```
CuSnBr3
1.0
8.294 0.000 0.000
0.000 7.147 0.000
0.000 0.000 10.935
Cu Sn Br
4 4 12
Cartesian
1.246 0.552 0.000
2.901 4.126 5.467
5.393 3.021 0.000
7.048 6.595 5.467
1.630 4.222 9.131
2.517 0.648 3.664
5.777 6.499 9.131
6.664 2.925 3.664
0.328 6.057 3.769
1.288 2.204 1.737
1.448 2.272 5.645
2.699 5.846 0.178
2.859 5.778 7.205
3.819 2.483 9.236
4.476 4.664 3.769
5.435 1.369 1.737
5.595 1.301 5.645
6.846 4.875 0.178
7.006 4.943 7.205
7.966 1.090 9.236
```

**ΔE to the lowest computed polymorph**: 16 meV per atom
**Fermi-level density of states**: 0.00 states/eV/f.u.